Entry from the Alexandria database: a relaxed Pm5Pr4Tm2 crystal (PBE-GGA).

## Properties
Distance to the lowest polymorph of the same formula: 0.108 eV per atom
SG: Immm
Final energy: -4.51 eV per atom

Cell lengths 11.109, 11.109, 11.109 Å; angles 161.44, 116.63, 66.65 degrees
Fractional coordinates of all 11 atoms:
Pm 0.000 0.000 0.000
Pm 0.111 0.320 0.791
Pm 0.471 0.680 0.791
Pm 0.529 0.320 0.209
Pm 0.889 0.680 0.209
Pr 0.259 0.500 0.759
Pr 0.409 0.909 0.500
Pr 0.591 0.091 0.500
Pr 0.741 0.500 0.241
Tm 0.205 0.705 0.500
Tm 0.795 0.295 0.500

---

Entry from the Alexandria database: a relaxed PmPr7Tm12 crystal (PBE-GGA).

## Properties
Distance to the lowest polymorph of the same formula: 0.000 eV per atom
SG: R-3
Final energy: -4.37 eV per atom

Cell lengths 8.778, 8.778, 8.778 Å; angles 86.02, 86.02, 86.02 degrees
Fractional coordinates of all 20 atoms:
Pm 0.000 0.000 0.000
Pr 0.073 0.159 0.398
Pr 0.159 0.398 0.073
Pr 0.398 0.073 0.159
Pr 0.500 0.500 0.500
Pr 0.602 0.927 0.841
Pr 0.841 0.602 0.927
Pr 0.927 0.841 0.602
Tm 0.135 0.497 0.620
Tm 0.145 0.740 0.274
Tm 0.260 0.726 0.855
Tm 0.274 0.145 0.740
Tm 0.380 0.865 0.503
Tm 0.497 0.620 0.135
Tm 0.503 0.380 0.865
Tm 0.620 0.135 0.497
Tm 0.726 0.855 0.260
Tm 0.740 0.274 0.145
Tm 0.855 0.260 0.726
Tm 0.865 0.503 0.380

---

Entry from the Alexandria database: a relaxed Pm3PrTm crystal (PBE-GGA).

## Properties
Distance to the lowest polymorph of the same formula: 0.000 eV per atom
SG: P-1
Final energy: -4.54 eV per atom

Cell lengths 6.494, 6.805, 8.396 Å; angles 79.49, 71.40, 88.57 degrees
Fractional coordinates of all 10 atoms:
Pm 0.021 0.165 0.325
Pm 0.149 0.632 0.304
Pm 0.403 0.241 0.545
Pm 0.597 0.759 0.455
Pm 0.851 0.368 0.696
Pm 0.979 0.835 0.675
Pr 0.000 0.000 0.000
Pr 0.500 0.000 0.000
Tm 0.287 0.511 0.899
Tm 0.713 0.489 0.101

---

Entry from the Alexandria database: a relaxed Pm5Pr4Tm crystal (PBE-GGA).

## Properties
SG: P4/mmm
Final energy: -4.71 eV per atom

Cell lengths 3.673, 3.673, 25.790 Å; angles 90.00, 90.00, 90.00 degrees
Fractional coordinates of all 10 atoms:
Pm 0.000 0.000 0.000
Pm 0.000 0.000 0.203
Pm 0.000 0.000 0.405
Pm 0.000 0.000 0.595
Pm 0.000 0.000 0.797
Pr 0.500 0.500 0.101
Pr 0.500 0.500 0.304
Pr 0.500 0.500 0.696
Pr 0.500 0.500 0.899
Tm 0.500 0.500 0.500

---

Entry from the Alexandria database: a relaxed Pm2Pr6Tm3 crystal (PBE-GGA).

## Properties
Distance to the lowest polymorph of the same formula: 0.394 eV per atom
SG: I4/mmm
Final energy: -4.21 eV per atom

Cell lengths 13.069, 13.069, 13.069 Å; angles 154.58, 154.58, 36.25 degrees
Fractional coordinates of all 11 atoms:
Pm 0.059 0.059 0.000
Pm 0.941 0.941 0.000
Pr 0.096 0.596 0.500
Pr 0.200 0.200 0.000
Pr 0.404 0.904 0.500
Pr 0.596 0.096 0.500
Pr 0.800 0.800 0.000
Pr 0.904 0.404 0.500
Tm 0.337 0.337 0.000
Tm 0.500 0.500 0.000
Tm 0.663 0.663 0.000

---

Entry from the Alexandria database: a relaxed Pm8Pr3Tm4 crystal (PBE-GGA).

## Properties
SG: C2/m
Final energy: -4.34 eV per atom

Cell lengths 9.230, 9.230, 6.875 Å; angles 110.34, 110.34, 83.47 degrees
Fractional coordinates of all 15 atoms:
Pm 0.203 0.203 0.169
Pm 0.206 0.794 0.000
Pm 0.254 0.746 0.500
Pm 0.257 0.257 0.696
Pm 0.743 0.743 0.304
Pm 0.746 0.254 0.500
Pm 0.794 0.206 0.000
Pm 0.797 0.797 0.831
Pr 0.000 0.000 0.500
Pr 0.000 0.500 0.000
Pr 0.500 0.000 0.000
Tm 0.000 0.500 0.500
Tm 0.500 0.000 0.500
Tm 0.500 0.500 0.000
Tm 0.500 0.500 0.500

---

Entry from the Alexandria database: a relaxed Pm12PrTm3 crystal (PBE-GGA).

## Properties
SG: P4/mmm
Final energy: -4.68 eV per atom

Cell lengths 5.125, 5.125, 20.463 Å; angles 90.00, 90.00, 90.00 degrees
Fractional coordinates of all 16 atoms:
Pm 0.000 0.000 0.000
Pm 0.000 0.000 0.247
Pm 0.000 0.000 0.500
Pm 0.000 0.000 0.753
Pm 0.000 0.500 0.124
Pm 0.000 0.500 0.372
Pm 0.000 0.500 0.628
Pm 0.000 0.500 0.876
Pm 0.500 0.000 0.124
Pm 0.500 0.000 0.372
Pm 0.500 0.000 0.628
Pm 0.500 0.000 0.876
Pr 0.500 0.500 0.500
Tm 0.500 0.500 0.000
Tm 0.500 0.500 0.248
Tm 0.500 0.500 0.752

---

Entry from the Alexandria database: a relaxed Pm5Pr2Tm4 crystal (PBE-GGA).

## Properties
Distance to the lowest polymorph of the same formula: 0.097 eV per atom
SG: Immm
Final energy: -4.49 eV per atom

Cell lengths 12.748, 12.748, 12.748 Å; angles 164.08, 138.03, 45.16 degrees
Fractional coordinates of all 11 atoms:
Pm 0.000 0.000 0.000
Pm 0.056 0.358 0.698
Pm 0.340 0.642 0.698
Pm 0.660 0.358 0.302
Pm 0.944 0.642 0.302
Pr 0.268 0.768 0.500
Pr 0.732 0.232 0.500
Tm 0.316 0.500 0.816
Tm 0.404 0.904 0.500
Tm 0.596 0.096 0.500
Tm 0.684 0.500 0.184

---

For reference, size of the total moment by record: 0.0, 0.0, 0.0, 0.0, 0.0, 0.0, 0.0, 0.0 μB/f.u..